## Li2InRh (GGA-PBEsol)

Data for an optimized crystal structure of Li2InRh.

Geometry as extended XYZ:
```
4
Lattice="3.1541 0.0000 0.0000 0.0000 4.3349 0.0000 0.0000 0.0000 4.4776" Properties=species:S:1:pos:R:3 pbc="T T T"
Li 0.0000 0.0000 0.0000
Li 1.5770 2.1675 0.0000
In 0.0000 2.1675 2.2388
Rh 1.5770 0.0000 2.2388
```

Computed properties:
As for the space group: Pmmm (47). For the formation energy, the calculation gives -0.31 eV/atom.